DFT (PBE) results for Be2CdBr after structural relaxation.

Computed properties:
Energy above the lowest structure with this stoichiometry in meV/atom: 670
Total magnetization in μB/f.u.: 0.00
ΔE_f (raw) in eV per atom: 0.961
Crystal system: tetragonal
DOS at the Fermi energy in states/eV per atom: 0.52
V in Å³/atom: 18.51
ρ in g/cm³: 4.72
Symmetry: I4/mmm (139)

Structure (POSCAR):
```
Be2CdBr
1.0
4.116 0.000 0.000
0.000 4.116 0.000
0.000 0.000 8.740
Be Cd Br
4 2 2
direct
0.000 0.500 0.250
0.000 0.500 0.750
0.500 0.000 0.250
0.500 0.000 0.750
0.000 0.000 0.000
0.500 0.500 0.500
0.000 0.000 0.500
0.500 0.500 0.000
```

***

DFT (PBE) results for Li2PdAu after structural relaxation.

Computed properties:
Energy above the lowest structure with this stoichiometry in meV/atom: 127
Total magnetization in μB/f.u.: 0.00
Crystal system: trigonal
DOS at the Fermi energy in states/eV per atom: 0.95
V in Å³/atom: 15.15
ρ in g/cm³: 8.69
ΔH_f (0 K) in eV/f.u.: -1.5
Symmetry: R3m (160)

Structure (POSCAR):
```
Li2PdAu
1.0
2.852 0.000 0.000
-1.426 2.470 0.000
0.000 0.000 25.807
Li Pd Au
6 3 3
direct
0.000 0.000 0.000
0.000 0.000 0.159
0.333 0.667 0.667
0.333 0.667 0.826
0.667 0.333 0.333
0.667 0.333 0.493
0.000 0.000 0.746
0.333 0.667 0.413
0.667 0.333 0.079
0.000 0.000 0.580
0.333 0.667 0.247
0.667 0.333 0.913
```

***

DFT (PBE) results for YSi2 after structural relaxation.

Computed properties:
Total magnetization in μB/f.u.: 0.00
ΔE_f (raw) in eV per atom: -0.396
Crystal system: monoclinic
DOS at the Fermi energy in states/eV per atom: 0.34
V in Å³/atom: 20.98
ρ in g/cm³: 3.83
Symmetry: Pm (6)

Structure (POSCAR):
```
YSi2
1.0
7.438 0.000 0.000
0.000 4.179 0.000
-2.090 0.000 8.097
Y Si
4 8
direct
0.000 0.000 0.000
0.129 0.000 0.509
0.468 0.000 0.885
0.607 0.000 0.498
0.143 0.500 0.780
0.315 0.500 0.342
0.348 0.500 0.071
0.407 0.500 0.642
0.691 0.500 0.074
0.734 0.500 0.795
0.873 0.500 0.522
0.980 0.500 0.267
```

***

DFT (PBE) results for Ca2TcF8 after structural relaxation.

Computed properties:
Total magnetization in μB/f.u.: 1.00
ΔE_f (raw) in eV per atom: -2.966
Crystal system: tetragonal
DOS at the Fermi energy in states/eV per atom: 0.56
V in Å³/atom: 14.12
ρ in g/cm³: 3.53
Symmetry: I4/mmm (139)

Structure (POSCAR):
```
Ca2TcF8
1.0
-2.773 2.773 5.049
2.773 -2.773 5.049
2.773 2.773 -5.049
Ca Tc F
2 1 8
direct
0.250 0.750 0.500
0.750 0.250 0.500
0.000 0.000 0.000
0.096 0.096 0.432
0.096 0.663 0.000
0.337 0.337 0.432
0.337 0.904 0.000
0.663 0.096 0.000
0.663 0.663 0.568
0.904 0.337 0.000
0.904 0.904 0.568
```

***

DFT (PBE) results for ScGa3Tc after structural relaxation.

Computed properties:
Energy above the lowest structure with this stoichiometry in meV/atom: 92
Total magnetization in μB/f.u.: 0.00
Crystal system: orthorhombic
DOS at the Fermi energy in states/eV per atom: 0.51
V in Å³/atom: 20.29
ρ in g/cm³: 5.76
ΔH_f (0 K) in eV/f.u.: 0.6
Symmetry: Pmma (51)

Structure (POSCAR):
```
ScGa3Tc
1.0
7.548 0.000 0.000
0.000 3.881 0.000
0.000 0.000 6.925
Sc Ga Tc
2 6 2
direct
0.250 0.000 0.031
0.750 0.000 0.969
0.000 0.500 0.000
0.091 0.500 0.359
0.409 0.500 0.359
0.500 0.500 0.000
0.591 0.500 0.641
0.909 0.500 0.641
0.250 0.500 0.745
0.750 0.500 0.255
```

***

DFT (PBE) results for CeNdCdSn after structural relaxation.

Computed properties:
Total magnetization in μB/f.u.: 1.09
Crystal system: cubic
DOS at the Fermi energy in states/eV per atom: 2.32
V in Å³/atom: 28.52
ρ in g/cm³: 7.50
ΔH_f (0 K) in eV/f.u.: -1.8
Symmetry: F-43m (216)

Structure (POSCAR):
```
CeNdCdSn
1.0
7.699 0.000 0.000
0.000 7.699 0.000
0.000 0.000 7.699
Ce Nd Cd Sn
4 4 4 4
direct
0.000 0.000 0.000
0.000 0.500 0.500
0.500 0.000 0.500
0.500 0.500 0.000
0.000 0.000 0.500
0.000 0.500 0.000
0.500 0.000 0.000
0.500 0.500 0.500
0.250 0.250 0.250
0.250 0.750 0.750
0.750 0.250 0.750
0.750 0.750 0.250
0.250 0.250 0.750
0.250 0.750 0.250
0.750 0.250 0.250
0.750 0.750 0.750
```